(1)
RbBi3Br | GGA-PBE | relaxed

Cell: 5.9179 5.9179 5.9179 Å, 90.00 90.00 90.00°
Space group Pm-3m (No. 221)
One atom of each set of equivalent atoms:
Rb 0.0000 0.0000 0.0000 [1 per cell]
Bi 0.0000 0.5000 0.5000 [3 per cell]
Br 0.5000 0.5000 0.5000 [1 per cell]

Properties
The calculated total energy is -12.52 eV for the cell shown. As for the total magnetic moment: 0.000 μB/f.u. Its uncorrected formation energy is 0.3522 eV per atom. For the excess energy over the best structure of this formula in the dataset, the calculation gives 0.0000 eV per atom.

(2)
Ce2MnGePt6 | GGA-PBE | relaxed

Cell: 5.4020 5.7571 7.0432 Å, 77.61 68.80 74.56°
Space group P-1 (No. 2)
One atom of each set of equivalent atoms:
Ce 0.1435 0.2615 0.2862 [2 per cell]
Mn 0.0000 0.0000 0.0000 [1 per cell]
Ge 0.5000 0.5000 0.5000 [1 per cell]
Pt 0.2272 0.7562 0.2642 [2 per cell]
Pt 0.3135 0.6091 0.8724 [2 per cell]
Pt 0.3358 0.1227 0.6648 [2 per cell]

Properties
The calculated total energy is -68.44 eV for the cell shown. As for the total magnetic moment: 2.635 μB/f.u.